# 1
The following is a DFT calculation (GGA-PBE) of a relaxed structure of Na3PuPb2S6.

a = 7.1867 Å, b = 7.1867 Å, c = 7.0208 Å
α = 99.95°, β = 99.95°, γ = 120.00°
Positions (direct):
Na 0.0000 0.0000 0.0000
Na 0.3292 0.6708 0.0000
Na 0.6708 0.3292 0.0000
Pu 0.5000 0.5000 0.5000
Pb 0.1666 0.8334 0.5000
Pb 0.8334 0.1666 0.5000
S 0.1184 0.4216 0.2655
S 0.2761 0.2761 0.7282
S 0.4216 0.1184 0.2655
S 0.5784 0.8816 0.7345
S 0.7239 0.7239 0.2718
S 0.8816 0.5784 0.7345

Formation energy (no corrections) in eV per atom: -1.000



# 2
The following is a DFT calculation (GGA-PBE) of a relaxed structure of YCrBr2.

a = 5.0897 Å, b = 5.0897 Å, c = 5.0897 Å
α = 60.00°, β = 60.00°, γ = 60.00°
Positions (direct):
Y 0.0000 0.0000 0.0000
Cr 0.5000 0.5000 0.5000
Br 0.2500 0.2500 0.2500
Br 0.7500 0.7500 0.7500

E above lowest polymorph in meV per atom: 315
Formation energy (no corrections) in eV per atom: -0.265



# 3
The following is a DFT calculation (GGA-PBE) of a relaxed structure of NbFeW.

a = 5.1248 Å, b = 5.1248 Å, c = 5.1248 Å
α = 144.07°, β = 144.07°, γ = 51.72°
Positions (direct):
Nb 0.0000 0.0000 0.0000
Fe 0.3335 0.3335 0.0000
W 0.6799 0.6799 0.0000

Formation enthalpy at 0 K in eV per atom: 0.13



# 4
The following is a DFT calculation (GGA-PBE) of a relaxed structure of RbLiHg3.

a = 5.3748 Å, b = 5.3748 Å, c = 5.3748 Å
α = 90.00°, β = 90.00°, γ = 90.00°
Positions (direct):
Rb 0.0000 0.0000 0.0000
Li 0.5000 0.5000 0.5000
Hg 0.0000 0.5000 0.5000
Hg 0.5000 0.0000 0.5000
Hg 0.5000 0.5000 0.0000

E above lowest polymorph in meV per atom: 33
Formation enthalpy at 0 K in eV per atom: -0.21



# 5
The following is a DFT calculation (GGA-PBE) of a relaxed structure of Re2Si2Ge.

a = 6.9155 Å, b = 6.9155 Å, c = 3.1041 Å
α = 90.00°, β = 90.00°, γ = 90.00°
Positions (direct):
Re 0.1546 0.3454 0.0000
Re 0.3454 0.8454 0.0000
Re 0.6546 0.1546 0.0000
Re 0.8454 0.6546 0.0000
Si 0.1385 0.6385 0.5000
Si 0.3615 0.1385 0.5000
Si 0.6385 0.8615 0.5000
Si 0.8615 0.3615 0.5000
Ge 0.0000 0.0000 0.0000
Ge 0.5000 0.5000 0.0000

Formation energy (no corrections) in eV per atom: 0.090



# 6
The following is a DFT calculation (GGA-PBE) of a relaxed structure of Ti2HI.

a = 6.4710 Å, b = 6.4710 Å, c = 6.4710 Å
α = 134.26°, β = 134.26°, γ = 66.68°
Positions (direct):
Ti 0.3750 0.1925 0.3175
Ti 0.8075 0.1250 0.1825
Ti 0.8750 0.0575 0.6825
Ti 0.9425 0.6250 0.8175
H 0.0000 0.0000 0.0000
H 0.7500 0.2500 0.5000
I 0.2500 0.7500 0.5000
I 0.5000 0.5000 0.0000

E above lowest polymorph in meV per atom: 0



# 7
The following is a DFT calculation (GGA-PBE) of a relaxed structure of KBaUBr6.

a = 8.0797 Å, b = 8.0797 Å, c = 13.8393 Å
α = 90.00°, β = 90.00°, γ = 120.00°
Positions (direct):
K 0.0000 0.0000 0.0000
K 0.0000 0.0000 0.5000
Ba 0.3333 0.6667 0.2500
Ba 0.6667 0.3333 0.7500
U 0.3333 0.6667 0.7500
U 0.6667 0.3333 0.2500
Br 0.0310 0.3724 0.6305
Br 0.0310 0.6586 0.8695
Br 0.3414 0.3724 0.8695
Br 0.3414 0.9690 0.6305
Br 0.3724 0.0310 0.1305
Br 0.3724 0.3414 0.3695
Br 0.6276 0.6586 0.6305
Br 0.6276 0.9690 0.8695
Br 0.6586 0.0310 0.3695
Br 0.6586 0.6276 0.1305
Br 0.9690 0.3414 0.1305
Br 0.9690 0.6276 0.3695

Formation energy (no corrections) in eV per atom: -1.683



# 8
The following is a DFT calculation (GGA-PBE) of a relaxed structure of Ga2GeF8.

a = 5.6620 Å, b = 5.6620 Å, c = 5.1476 Å
α = 96.77°, β = 96.77°, γ = 65.54°
Positions (direct):
Ga 0.2119 0.2119 0.4779
Ga 0.7881 0.7881 0.5221
Ge 0.5000 0.5000 0.0000
F 0.0994 0.0994 0.7285
F 0.1438 0.5702 0.6733
F 0.3248 0.3248 0.2080
F 0.4298 0.8562 0.3267
F 0.5702 0.1438 0.6733
F 0.6752 0.6752 0.7920
F 0.8562 0.4298 0.3267
F 0.9006 0.9006 0.2715

Formation energy (no corrections) in eV per atom: -2.335



# 9
The following is a DFT calculation (GGA-PBE) of a relaxed structure of TbHoGe2.

a = 7.1414 Å, b = 7.1414 Å, c = 7.1414 Å
α = 33.86°, β = 33.86°, γ = 33.86°
Positions (direct):
Tb 0.0000 0.0000 0.0000
Ho 0.5000 0.5000 0.5000
Ge 0.2492 0.2492 0.2492
Ge 0.7508 0.7508 0.7508

E above lowest polymorph in meV per atom: 212
Formation enthalpy at 0 K in eV per atom: -0.66



# 10
The following is a DFT calculation (GGA-PBE) of a relaxed structure of Te2PdCI.

a = 5.2457 Å, b = 5.2457 Å, c = 5.4036 Å
α = 90.00°, β = 90.00°, γ = 90.00°
Positions (direct):
Te 0.0000 0.5000 0.0000
Te 0.5000 0.0000 0.0000
Pd 0.0000 0.0000 0.0000
C 0.5000 0.5000 0.5000
I 0.0000 0.0000 0.5000

E above lowest polymorph in meV per atom: 426
Formation energy (no corrections) in eV per atom: 1.633



# 11
The following is a DFT calculation (GGA-PBE) of a relaxed structure of PmPuSbTe.

a = 5.4295 Å, b = 5.4295 Å, c = 5.4295 Å
α = 60.00°, β = 60.00°, γ = 60.00°
Positions (direct):
Pm 0.0000 0.0000 0.0000
Pu 0.5000 0.5000 0.5000
Sb 0.2500 0.2500 0.2500
Te 0.7500 0.7500 0.7500

E above lowest polymorph in meV per atom: 203
Formation energy (no corrections) in eV per atom: -0.916



# 12
The following is a DFT calculation (GGA-PBE) of a relaxed structure of Ta2CdPb.

a = 2.9938 Å, b = 2.9938 Å, c = 9.6336 Å
α = 90.00°, β = 90.00°, γ = 107.85°
Positions (direct):
Ta 0.0000 0.0000 0.2495
Ta 0.0000 0.0000 0.7505
Cd 0.5000 0.5000 0.0000
Pb 0.5000 0.5000 0.5000

Formation enthalpy at 0 K in eV per atom: 0.54



For each record above, in turn, the calculated M_tot values are 3.0 5.1 1.5 0.0 0.0 1.9 6.0 0.0 0.0 0.8 5.9 0.0 μB per cell.
For each record above, in turn, the calculated total DFT energy (no corrections) values are -62.5 -20.5 -31.1 -4.8 -79.8 -40.4 -79.0 -51.3 -21.1 -14.1 -30.0 -26.2 eV/cell.